VASP calculation (PBE with a Hubbard U) on crystalline CoSbSO2 at its relaxed geometry.

Values from the calculation:
Symmetry: No. 123
Calculated total energy (eV per atom): -5.005
DOS at the Fermi energy (states/eV/cell): 1.70
Total moment (μB/f.u.): 2.37

a b c (Å): 3.8949 3.8949 5.3245
angles (deg): 90.00 90.00 90.00
Last column: nearest neighbours and their distance in Å.
Positions (direct):
1 Co 0.0000 0.0000 0.0000  4 S 2.75
2 Sb 0.5000 0.5000 0.5000  4 O 1.95
3 S 0.5000 0.5000 0.0000  2 Sb 2.66, 4 Co 2.75
4 O 0.0000 0.5000 0.5000  2 Sb 1.95
5 O 0.5000 0.0000 0.5000  2 Sb 1.95